(1)
! SmTh2Re (PBE, optimized geometry); values from VASP
! Offset from the most stable computed form   0.44 eV per formula unit
! SG   R-3m, No. 166
&SYSTEM
  ibrav = 0, nat = 4, ntyp = 3
/
ATOMIC_SPECIES
Th 232.04 Th.upf
Sm 150.36 Sm.upf
Re 186.21 Re.upf
CELL_PARAMETERS angstrom
3.999 0.000 0.000
2.000 3.463 0.000
2.000 1.154 9.123
ATOMIC_POSITIONS crystal
Th 0.274 0.274 0.178
Sm 0.500 0.500 0.500
Th 0.726 0.726 0.822
Re 0.000 0.000 0.000

***

(2)
! SmTh2Re (PBE, optimized geometry); values from VASP
! Offset from the most stable computed form   0.00 eV per formula unit
! SG   P4/mmm, No. 123
&SYSTEM
  ibrav = 0, nat = 4, ntyp = 3
/
ATOMIC_SPECIES
Th 232.04 Th.upf
Re 186.21 Re.upf
Sm 150.36 Sm.upf
CELL_PARAMETERS angstrom
-3.077 -1.730 0.434
-0.330 -0.299 -3.529
4.341 -7.660 0.243
ATOMIC_POSITIONS crystal
Th 0.000 0.000 0.202
Re 0.500 0.500 0.000
Sm 0.500 0.500 0.500
Th 0.000 0.000 0.798

***

(3)
! SmThRe (PBE, optimized geometry); values from VASP
! Offset from the most stable computed form   0.00 eV per formula unit
! SG   Cm, No. 8
&SYSTEM
  ibrav = 0, nat = 6, ntyp = 3
/
ATOMIC_SPECIES
Sm 150.36 Sm.upf
Th 232.04 Th.upf
Re 186.21 Re.upf
CELL_PARAMETERS angstrom
-4.621 0.033 0.798
-2.505 -5.813 -0.487
-1.386 -1.981 5.839
ATOMIC_POSITIONS crystal
Sm 0.665 0.433 0.237
Th 0.017 0.869 0.098
Re 0.967 0.521 0.544
Re 0.693 0.806 0.808
Sm 0.261 0.975 0.503
Th 0.421 0.337 0.822

***

(4)
! SmThZnRe (PBE, optimized geometry); values from VASP
! SG   F-43m, No. 216
&SYSTEM
  ibrav = 0, nat = 4, ntyp = 4
/
ATOMIC_SPECIES
Sm 150.36 Sm.upf
Th 232.04 Th.upf
Zn 65.41 Zn.upf
Re 186.21 Re.upf
CELL_PARAMETERS angstrom
-2.250 -2.928 -3.491
-3.905 -2.975 1.313
-4.691 1.110 -1.606
ATOMIC_POSITIONS crystal
Sm 0.250 0.250 0.250
Th 0.750 0.750 0.750
Zn 0.000 0.000 0.000
Re 0.500 0.500 0.500

***

no.,energy relative to the elements (meV per atom),spin magnetization (μB/cell)
1,246,0.0
2,137,0.0
3,100,0.0
4,22,0.0